MoCSe2Br: optimized geometry, PBEsol.

Crystal system: tetragonal
Electronic total energy: -4.816 eV per atom
Uncorrected formation energy: 1381 meV per atom
Calculated density: 6.93 g/cm³
DOS at the Fermi energy: 0.66 states/eV/atom

Lattice parameters (Å, degrees): 4.358 4.358 4.363 90.00 90.00 90.00
Space group P4/mmm (No. 123)
Asymmetric unit:
Mo 0.000 0.000 0.000 [1 per cell]
C 0.500 0.500 0.500 [1 per cell]
Se 0.000 0.500 0.500 [2 per cell]
Br 0.500 0.500 0.000 [1 per cell]



Nb2CBr: optimized geometry, PBEsol.

Crystal system: tetragonal
Electronic total energy: -7.856 eV per atom
Uncorrected formation energy: 433 meV per atom
Calculated density: 6.13 g/cm³
DOS at the Fermi energy: 1.07 states/eV/atom

Lattice parameters (Å, degrees): 5.431 5.431 10.211 90.00 90.00 90.00
Space group I-42d (No. 122)
Asymmetric unit:
Nb 0.155 0.250 0.125 [8 per cell]
C 0.000 0.000 0.000 [4 per cell]
Br 0.000 0.000 0.500 [4 per cell]